No. 1
Entry from Alexandria: an optimized crystal structure of MnBePt2 (PBE).

a = 3.675 Å, b = 3.675 Å, c = 8.114 Å
α = 90.00°, β = 90.00°, γ = 90.00°
Space group I-4m2 (No. 119)
One atom of each set of equivalent atoms:
Mn: 0.000 0.000 0.000 [2 per cell]
Be: 0.000 0.500 0.250 [2 per cell]
Pt: 0.000 0.000 0.500 [2 per cell]
Pt: 0.000 0.500 0.750 [2 per cell]

Calculated values
The volume is 110 Å³ per cell. The value obtained for the density of states at the Fermi level is 2.42 states/eV/f.u. The calculation puts the density at 13761 kg/m³. As for the raw total energy: -6.592 eV/atom. The calculation puts the energy of formation from the pure elements at -0.348 eV per atom.


No. 2
Entry from Alexandria: an optimized crystal structure of MnBe2Pt (PBE).

a = 7.708 Å, b = 2.725 Å, c = 4.596 Å
α = 90.00°, β = 101.46°, γ = 90.00°
Space group C2/m (No. 12)
One atom of each set of equivalent atoms:
Mn: 0.000 0.000 0.000 [2 per cell]
Be: 0.246 0.000 0.732 [4 per cell]
Pt: 0.000 0.500 0.500 [2 per cell]

Calculated values
The volume is 95 Å³ per cell. The value obtained for the density of states at the Fermi level is 2.35 states/eV/f.u. The calculation puts the density at 9410 kg/m³. As for the raw total energy: -5.858 eV/atom. The calculation puts the energy of formation from the pure elements at -0.192 eV per atom.


No. 3
Entry from Alexandria: an optimized crystal structure of MnBePt2 (PBE).

a = 2.8048 Å, b = 2.8048 Å, c = 23.9717 Å
α = 90.00°, β = 90.00°, γ = 120.00°
Space group R-3m (No. 166, hexagonal axes)
One atom of each set of equivalent atoms:
Mn: 0.0000 0.0000 0.0000 [3 per cell]
Be: 0.0000 0.0000 0.5000 [3 per cell]
Pt: 0.0000 0.0000 0.2408 [6 per cell]

Calculated values
The volume is 163 Å³ per cell. The value obtained for the density of states at the Fermi level is 2.49 states/eV/f.u. The calculation puts the density at 13852 kg/m³. As for the raw total energy: -6.594 eV/atom. The calculation puts the energy of formation from the pure elements at -0.350 eV per atom.


No. 4
Entry from Alexandria: an optimized crystal structure of Mn4BePt (PBE).

a = 6.569 Å, b = 6.569 Å, c = 6.569 Å
α = 90.00°, β = 90.00°, γ = 90.00°
Space group F-43m (No. 216)
One atom of each set of equivalent atoms:
Mn: 0.124 0.124 0.124 [16 per cell]
Be: 0.250 0.250 0.750 [4 per cell]
Pt: 0.000 0.000 0.500 [4 per cell]

Calculated values
The volume is 284 Å³ per cell. The value obtained for the density of states at the Fermi level is 10.39 states/eV/f.u. The calculation puts the density at 9930 kg/m³. As for the raw total energy: -7.551 eV/atom. The calculation puts the energy of formation from the pure elements at 0.190 eV per atom.


No. 5
Entry from Alexandria: an optimized crystal structure of MnBe2Pt (PBE).

a = 5.712 Å, b = 5.712 Å, c = 5.712 Å
α = 90.00°, β = 90.00°, γ = 90.00°
Space group F-43m (No. 216)
One atom of each set of equivalent atoms:
Mn: 0.000 0.000 0.000 [4 per cell]
Be: 0.000 0.000 0.500 [4 per cell]
Be: 0.250 0.250 0.750 [4 per cell]
Pt: 0.250 0.250 0.250 [4 per cell]

Calculated values
The volume is 186 Å³ per cell. The value obtained for the density of states at the Fermi level is 1.83 states/eV/f.u. The calculation puts the density at 9555 kg/m³. As for the raw total energy: -5.893 eV/atom. The calculation puts the energy of formation from the pure elements at -0.228 eV per atom.


No. 6
Entry from Alexandria: an optimized crystal structure of MnBePt2 (PBE).

a = 3.859 Å, b = 3.859 Å, c = 16.467 Å
α = 90.00°, β = 90.00°, γ = 90.00°
Space group I-42d (No. 122)
One atom of each set of equivalent atoms:
Mn: 0.000 0.000 0.000 [4 per cell]
Be: 0.000 0.000 0.500 [4 per cell]
Pt: 0.233 0.250 0.625 [8 per cell]

Calculated values
The volume is 245 Å³ per cell. The value obtained for the density of states at the Fermi level is 2.59 states/eV/f.u. The calculation puts the density at 12303 kg/m³. As for the raw total energy: -6.212 eV/atom. The calculation puts the energy of formation from the pure elements at 0.033 eV per atom.


No. 7
Entry from Alexandria: an optimized crystal structure of MnBe2Pt (PBE).

a = 5.606 Å, b = 5.606 Å, c = 5.606 Å
α = 90.00°, β = 90.00°, γ = 90.00°
Space group Fm-3m (No. 225)
One atom of each set of equivalent atoms:
Mn: 0.000 0.000 0.000 [4 per cell]
Be: 0.250 0.250 0.250 [8 per cell]
Pt: 0.000 0.000 0.500 [4 per cell]

Calculated values
The volume is 176 Å³ per cell. The value obtained for the density of states at the Fermi level is 1.54 states/eV/f.u. The calculation puts the density at 10103 kg/m³. As for the raw total energy: -6.154 eV/atom. The calculation puts the energy of formation from the pure elements at -0.488 eV per atom.


No. 8
Entry from Alexandria: an optimized crystal structure of MnBePt (PBE).

a = 5.464 Å, b = 5.464 Å, c = 5.464 Å
α = 90.00°, β = 90.00°, γ = 90.00°
Space group F-43m (No. 216)
One atom of each set of equivalent atoms:
Mn: 0.000 0.000 0.000 [4 per cell]
Be: 0.250 0.250 0.750 [4 per cell]
Pt: 0.000 0.000 0.500 [4 per cell]

Calculated values
The volume is 163 Å³ per cell. The value obtained for the density of states at the Fermi level is 3.04 states/eV/f.u. The calculation puts the density at 10546 kg/m³. As for the raw total energy: -6.526 eV/atom. The calculation puts the energy of formation from the pure elements at -0.214 eV per atom.


- Among the records above, which one has the highest raw total energy?
  number 2


- Which value of energy of formation from the pure elements does entry 1 give?
  -0.348 eV per atom


Please write out number 1 again, unchanged.
Entry from Alexandria: an optimized crystal structure of MnBePt2 (PBE).

a = 3.675 Å, b = 3.675 Å, c = 8.114 Å
α = 90.00°, β = 90.00°, γ = 90.00°
Space group I-4m2 (No. 119)
One atom of each set of equivalent atoms:
Mn: 0.000 0.000 0.000 [2 per cell]
Be: 0.000 0.500 0.250 [2 per cell]
Pt: 0.000 0.000 0.500 [2 per cell]
Pt: 0.000 0.500 0.750 [2 per cell]

Calculated values
The volume is 110 Å³ per cell. The value obtained for the density of states at the Fermi level is 2.42 states/eV/f.u. The calculation puts the density at 13761 kg/m³. As for the raw total energy: -6.592 eV/atom. The calculation puts the energy of formation from the pure elements at -0.348 eV per atom.